Record 1
VASP calculation (PBE-GGA) on a relaxed HoTmZr2As4 crystal.

Electronic total energy = -6.900 eV/atom
ΔE_f = -1307 meV/atom
Total magnetic moment = 0.00 μB/f.u.

Cell lengths 3.9452, 6.8410, 6.9285 Å; angles 109.28, 90.00, 90.00 degrees
Last column: nearest neighbours and their distance in Å.
Fractional coordinates of all 8 atoms:
As (0.0000, 0.2453, 0.7395)  3 Zr 2.76-2.77, 1 Tm 2.84, 2 Ho 2.85
As (0.0000, 0.7547, 0.2605)  3 Zr 2.76-2.77, 1 Tm 2.84, 2 Ho 2.85
As (0.5000, 0.7479, 0.7404)  3 Zr 2.76-2.77, 2 Tm 2.84, 1 Ho 2.85
As (0.5000, 0.2521, 0.2596)  3 Zr 2.76-2.77, 2 Tm 2.84, 1 Ho 2.85
Zr (0.0000, 0.5000, 0.5000)  6 As 2.77
Zr (0.5000, 0.0000, 0.5000)  6 As 2.76
Tm (0.0000, 0.0000, 0.0000)  6 As 2.84
Ho (0.5000, 0.5000, 0.0000)  6 As 2.85



Record 2
VASP calculation (PBE-GGA) on a relaxed HoTm2ZrAs4 crystal.

Electronic total energy = -6.497 eV/atom
ΔE_f = -1413 meV/atom
Total magnetic moment = 0.00 μB/f.u.

Cell lengths 4.0104, 6.9523, 6.9501 Å; angles 109.30, 90.00, 90.00 degrees
Last column: nearest neighbours and their distance in Å.
Fractional coordinates of all 8 atoms:
As (0.5000, 0.7577, 0.7561)  2 Zr 2.80, 3 Tm 2.83-2.88, 1 Ho 2.84
As (0.0000, 0.2446, 0.7521)  1 Zr 2.79, 3 Tm 2.83-2.88, 2 Ho 2.85
As (0.5000, 0.2423, 0.2439)  2 Zr 2.80, 3 Tm 2.83-2.88, 1 Ho 2.84
As (0.0000, 0.7554, 0.2479)  1 Zr 2.79, 3 Tm 2.83-2.88, 2 Ho 2.85
Tm (0.5000, 0.0000, 0.5000)  6 As 2.83
Tm (0.0000, 0.5000, 0.5000)  6 As 2.88
Ho (0.5000, 0.5000, 0.0000)  6 As 2.84-2.85
Zr (0.0000, 0.0000, 0.0000)  6 As 2.79-2.80



Record 3
VASP calculation (PBE-GGA) on a relaxed Ho4UAs5 crystal.

Electronic total energy = -6.651 eV/atom
ΔE_f = -1367 meV/atom
Total magnetic moment = 2.20 μB/f.u.

Cell lengths 5.7905, 7.0834, 7.0834 Å; angles 80.38, 65.87, 65.87 degrees
Last column: nearest neighbours and their distance in Å.
Fractional coordinates of all 10 atoms:
Ho (0.4021, 0.3996, 0.7982)  6 As 2.88-2.92
Ho (0.8017, 0.7982, 0.6004)  6 As 2.88-2.92
Ho (0.2003, 0.2018, 0.3996)  6 As 2.88-2.92
Ho (0.5999, 0.6004, 0.2018)  6 As 2.88-2.92
As (0.5012, 0.0000, 0.0000)  4 Ho 2.89, 2 U 2.90
As (0.7045, 0.1984, 0.3946)  1 U 2.86, 5 Ho 2.88-2.92
As (0.2975, 0.8016, 0.6054)  1 U 2.86, 5 Ho 2.88-2.92
As (0.9029, 0.3946, 0.8016)  1 U 2.86, 5 Ho 2.88-2.92
As (0.0991, 0.6054, 0.1984)  1 U 2.86, 5 Ho 2.88-2.92
U (0.0012, 0.0000, 0.0000)  6 As 2.86-2.90



Record 4
VASP calculation (PBE-GGA) on a relaxed Ho5UAs6 crystal.

Electronic total energy = -6.566 eV/atom
ΔE_f = -1393 meV/atom
Total magnetic moment = 2.04 μB/f.u.

Cell lengths 7.0851, 7.0858, 7.0893 Å; angles 60.02, 80.41, 70.53 degrees
Last column: nearest neighbours and their distance in Å.
Fractional coordinates of all 12 atoms:
U (0.0000, 0.0000, 0.0000)  6 As 2.86
As (0.2485, 0.5878, 0.3294)  1 U 2.86, 5 Ho 2.89-2.91
As (0.2474, 0.2464, 0.0000)  1 U 2.86, 5 Ho 2.89-2.93
As (0.7526, 0.7536, 0.0000)  1 U 2.86, 5 Ho 2.89-2.93
As (0.2485, 0.9172, 0.6706)  1 U 2.86, 5 Ho 2.89-2.91
As (0.7515, 0.0828, 0.3294)  1 U 2.86, 5 Ho 2.89-2.91
As (0.7515, 0.4122, 0.6706)  1 U 2.86, 5 Ho 2.89-2.91
Ho (0.0000, 0.3336, 0.3328)  6 As 2.89-2.90
Ho (0.5000, 0.8320, 0.3361)  6 As 2.89-2.91
Ho (0.0000, 0.6664, 0.6672)  6 As 2.89-2.90
Ho (0.5000, 0.1680, 0.6639)  6 As 2.89-2.91
Ho (0.5000, 0.5000, 0.0000)  6 As 2.89-2.93



Record 5
VASP calculation (PBE-GGA) on a relaxed HoU4As5 crystal.

Electronic total energy = -8.174 eV/atom
ΔE_f = -876 meV/atom
Total magnetic moment = 9.89 μB/f.u.

Cell lengths 4.0473, 5.7704, 10.9212 Å; angles 105.32, 100.68, 90.00 degrees
Last column: nearest neighbours and their distance in Å.
Fractional coordinates of all 10 atoms:
U (0.2001, 0.2001, 0.4003)  6 As 2.89-2.90
U (0.5997, 0.5997, 0.1994)  6 As 2.89
U (0.4003, 0.4003, 0.8006)  6 As 2.89
U (0.7999, 0.7999, 0.5997)  6 As 2.89-2.90
As (0.1997, 0.6997, 0.3994)  6 U 2.89-2.90
As (0.5999, 0.0999, 0.1999)  4 U 2.89-2.90, 2 Ho 2.89
As (0.4001, 0.9001, 0.8001)  4 U 2.89-2.90, 2 Ho 2.89
As (0.0000, 0.5000, 0.0000)  2 Ho 2.89, 4 U 2.89
As (0.8003, 0.3003, 0.6006)  6 U 2.89-2.90
Ho (0.0000, 0.0000, 0.0000)  6 As 2.89



Record 6
VASP calculation (PBE-GGA) on a relaxed Ho5U3As8 crystal.

Electronic total energy = -7.098 eV/atom
ΔE_f = -1226 meV/atom
Total magnetic moment = 7.24 μB/f.u.

Cell lengths 8.1522, 8.1522, 8.2067 Å; angles 60.22, 60.22, 60.00 degrees
Last column: nearest neighbours and their distance in Å.
Fractional coordinates of all 16 atoms:
Ho (0.0000, 0.5000, 0.0000)  6 As 2.89-2.90
Ho (0.5000, 0.5000, 0.5000)  6 As 2.89
Ho (0.5000, 0.0000, 0.0000)  6 As 2.89-2.90
Ho (0.0000, 0.0000, 0.0000)  6 As 2.89
Ho (0.5000, 0.5000, 0.0000)  6 As 2.89-2.90
U (0.0000, 0.0000, 0.5000)  6 As 2.88-2.89
U (0.0000, 0.5000, 0.5000)  6 As 2.88-2.89
U (0.5000, 0.0000, 0.5000)  6 As 2.88-2.89
As (0.7499, 0.7499, 0.7503)  3 Ho 2.89, 3 U 2.89
As (0.7501, 0.2481, 0.2518)  2 U 2.88, 4 Ho 2.89-2.90
As (0.2501, 0.2501, 0.2497)  3 Ho 2.89, 3 U 2.89
As (0.2481, 0.7501, 0.2518)  2 U 2.88, 4 Ho 2.89-2.90
As (0.2499, 0.2499, 0.7482)  2 U 2.88, 4 Ho 2.89-2.90
As (0.2499, 0.7519, 0.7482)  2 U 2.88, 4 Ho 2.89-2.90
As (0.7519, 0.2499, 0.7482)  2 U 2.88, 4 Ho 2.89-2.90
As (0.7501, 0.7501, 0.2518)  2 U 2.88, 4 Ho 2.89-2.90



Record 7
VASP calculation (PBE-GGA) on a relaxed Ho2UAs3 crystal.

Electronic total energy = -6.994 eV/atom
ΔE_f = -1262 meV/atom
Total magnetic moment = 2.41 μB/f.u.

Cell lengths 4.0965, 4.0965, 9.1238 Å; angles 102.97, 102.97, 90.01 degrees
Last column: nearest neighbours and their distance in Å.
Fractional coordinates of all 6 atoms:
Ho (0.1020, 0.1033, 0.2094)  6 As 2.88-2.90
Ho (0.7666, 0.7679, 0.5385)  6 As 2.88-2.90
As (0.5999, 0.6012, 0.2052)  1 U 2.87, 5 Ho 2.88-2.90
As (0.9341, 0.9359, 0.8740)  4 U 2.90, 2 Ho 2.90
As (0.2687, 0.2700, 0.5428)  1 U 2.87, 5 Ho 2.88-2.90
U (0.4341, 0.4359, 0.8740)  6 As 2.87-2.90



Record 8
VASP calculation (PBE-GGA) on a relaxed HoU3As4 crystal.

Electronic total energy = -8.056 eV/atom
ΔE_f = -926 meV/atom
Total magnetic moment = 7.59 μB/f.u.

Cell lengths 4.0494, 7.1080, 7.1080 Å; angles 108.93, 90.00, 90.00 degrees
Last column: nearest neighbours and their distance in Å.
Fractional coordinates of all 8 atoms:
As (0.0000, 0.7502, 0.7502)  2 Ho 2.89, 4 U 2.89
As (0.0000, 0.2498, 0.2498)  2 Ho 2.89, 4 U 2.89
As (0.5000, 0.7509, 0.2491)  1 Ho 2.88, 5 U 2.89-2.90
As (0.5000, 0.2491, 0.7509)  1 Ho 2.88, 5 U 2.89-2.90
U (0.5000, 0.5000, 0.5000)  6 As 2.89-2.90
U (0.0000, 0.0000, 0.5000)  6 As 2.89
U (0.0000, 0.5000, 0.0000)  6 As 2.89
Ho (0.5000, 0.0000, 0.0000)  6 As 2.88-2.89



Record 9
VASP calculation (PBE-GGA) on a relaxed HoUAs2 crystal.

ΔE to the lowest computed polymorph = 142 meV/atom
Electronic total energy = -7.282 eV/atom
ΔE_f = -991 meV/atom
Total magnetic moment = 2.86 μB/f.u.

Cell lengths 3.9695, 3.9695, 7.5672 Å; angles 74.79, 74.79, 60.00 degrees
Last column: nearest neighbours and their distance in Å.
Fractional coordinates of all 4 atoms:
U (0.4980, 0.4980, 0.5060)  6 As 2.92-2.96
Ho (0.6692, 0.6692, 0.9924)  6 As 2.86-2.93
As (0.0813, 0.0813, 0.7562)  3 Ho 2.86, 3 U 2.92
As (0.2515, 0.2515, 0.2455)  3 Ho 2.93, 3 U 2.96



Record 10
VASP calculation (PBE-GGA) on a relaxed HoUAs2 crystal.

ΔE to the lowest computed polymorph = 0 meV/atom
Electronic total energy = -7.424 eV/atom
ΔE_f = -1133 meV/atom
Total magnetic moment = 2.46 μB/f.u.

Cell lengths 4.0599, 4.0599, 7.1713 Å; angles 73.56, 73.56, 60.00 degrees
Last column: nearest neighbours and their distance in Å.
Fractional coordinates of all 4 atoms:
As (0.2501, 0.2501, 0.2498)  3 U 2.89, 3 Ho 2.89
As (0.7499, 0.7499, 0.7502)  3 U 2.89, 3 Ho 2.89
U (0.0000, 0.0000, 0.0000)  6 As 2.89
Ho (0.5000, 0.5000, 0.5000)  6 As 2.89



Record 11
VASP calculation (PBE-GGA) on a relaxed HoUAs2 crystal.

ΔE to the lowest computed polymorph = 21 meV/atom
Electronic total energy = -7.404 eV/atom
ΔE_f = -1112 meV/atom
Total magnetic moment = 2.44 μB/f.u.

Cell lengths 5.7789, 5.7789, 7.0790 Å; angles 114.09, 114.09, 90.00 degrees
Last column: nearest neighbours and their distance in Å.
Fractional coordinates of all 8 atoms:
As (0.5014, 0.0014, 0.0028)  3 U 2.87-2.89, 3 Ho 2.89-2.91
As (0.7514, 0.7514, 0.5028)  3 U 2.87-2.89, 3 Ho 2.89-2.91
As (0.9986, 0.4986, 0.9972)  3 U 2.87-2.89, 3 Ho 2.89-2.91
As (0.2486, 0.2486, 0.4972)  3 U 2.87-2.89, 3 Ho 2.89-2.91
Ho (0.2500, 0.7500, 0.5000)  6 As 2.89-2.91
Ho (0.5000, 0.5000, 0.0000)  6 As 2.89-2.91
U (0.7500, 0.2500, 0.5000)  6 As 2.87-2.89
U (0.0000, 0.0000, 0.0000)  6 As 2.87-2.89



Record 12
VASP calculation (PBE-GGA) on a relaxed HoZrU2As5 crystal.

Electronic total energy = -6.849 eV/atom
ΔE_f = -299 meV/atom
Total magnetic moment = 4.22 μB/f.u.

Cell lengths 4.8005, 4.8005, 10.4987 Å; angles 90.00, 90.00, 90.00 degrees
Last column: nearest neighbours and their distance in Å.
Fractional coordinates of all 9 atoms:
As (0.0000, 0.5000, 0.5000)  2 Zr 2.40
As (0.5000, 0.5000, 0.0000)  2 U 3.20, 4 Ho 3.39
As (0.0000, 0.0000, 0.7495)  1 Zr 2.62, 1 Ho 2.63
As (0.0000, 0.0000, 0.2505)  1 Zr 2.62, 1 Ho 2.63
As (0.5000, 0.0000, 0.5000)  2 Zr 2.40
U (0.5000, 0.5000, 0.3046)  9 As 3.16-3.44
U (0.5000, 0.5000, 0.6954)  9 As 3.16-3.44
Ho (0.0000, 0.0000, 0.0000)  2 As 2.63
Zr (0.0000, 0.0000, 0.5000)  6 As 2.40-2.62